{
  "formula": "CaY2Bi2",
  "functional": "GGA-PBE",
  "state": "optimized geometry",
  "cell": [[-2.4511, 2.4511, 7.2339], [2.4511, -2.4511, 7.2339], [2.4511, 2.4511, -7.2339]],
  "species": ["Ca", "Y", "Y", "Bi", "Bi"],
  "fractional_positions": [[0.0000, 0.0000, 0.0000], [0.2500, 0.7500, 0.5000], [0.7500, 0.2500, 0.5000], [0.3867, 0.3867, 0.0000], [0.6133, 0.6133, 0.0000]],
  "e_above_lowest_polymorph_mev_per_atom": 257,
  "ef_mev_per_atom": -487,
  "vol_a3_per_fu": 174,
  "final_energy_ev_per_atom": -5.03,
  "dos_ef_per_ev_atom": 0.90,
  "magmom_total_mub_per_fu": 1.1
}